Record 1
# EuUSi2 (PBE, relaxed)
data_EuUSi2
_chemical_formula_sum 'Eu3 U3 Si6'
_symmetry_space_group_name_H-M 'R -3 m'
_symmetry_Int_Tables_number 166
_symmetry_space_group_name_Hall '-R 3 2"'
_cell_length_a 3.1600
_cell_length_b 3.1600
_cell_length_c 29.2316
_cell_angle_alpha 90.00
_cell_angle_beta 90.00
_cell_angle_gamma 120.00
loop_
_atom_site_label
_atom_site_type_symbol
_atom_site_fract_x
_atom_site_fract_y
_atom_site_fract_z
Eu1 Eu 0.0000 0.0000 0.0000
U1 U 0.0000 0.0000 0.5000
Si1 Si 0.0000 0.0000 0.2478
# * V: 84 Å³/f.u.
# * total DFT energy (no corrections): -32.0 eV per formula unit
# * energy relative to the elements, uncorrected: 11 kJ/mol of atoms

Record 2
# EuSi2W (PBE, relaxed)
data_EuSi2W
_chemical_formula_sum 'Eu3 Si6 W3'
_symmetry_space_group_name_H-M 'R -3 m'
_symmetry_Int_Tables_number 166
_symmetry_space_group_name_Hall '-R 3 2"'
_cell_length_a 3.6706
_cell_length_b 3.6706
_cell_length_c 20.6456
_cell_angle_alpha 90.00
_cell_angle_beta 90.00
_cell_angle_gamma 120.00
loop_
_atom_site_label
_atom_site_type_symbol
_atom_site_fract_x
_atom_site_fract_y
_atom_site_fract_z
Eu1 Eu 0.0000 0.0000 0.0000
Si1 Si 0.0000 0.0000 0.2342
W1 W 0.0000 0.0000 0.5000
# * V: 80 Å³/f.u.
# * total DFT energy (no corrections): -34.1 eV per formula unit
# * energy relative to the elements, uncorrected: -1 kJ/mol of atoms

Record 3
# EuZn2Si2 (PBE, relaxed)
data_EuZn2Si2
_chemical_formula_sum 'Eu2 Zn4 Si4'
_symmetry_space_group_name_H-M 'I 4/m m m'
_symmetry_Int_Tables_number 139
_symmetry_space_group_name_Hall '-I 4 2'
_cell_length_a 4.262
_cell_length_b 4.262
_cell_length_c 10.219
_cell_angle_alpha 90.00
_cell_angle_beta 90.00
_cell_angle_gamma 90.00
loop_
_atom_site_label
_atom_site_type_symbol
_atom_site_fract_x
_atom_site_fract_y
_atom_site_fract_z
Eu1 Eu 0.000 0.000 0.000
Zn1 Zn 0.000 0.500 0.250
Si1 Si 0.000 0.000 0.384
# * V: 93 Å³/f.u.
# * total DFT energy (no corrections): -25.5 eV per formula unit
# * energy relative to the elements, uncorrected: -35 kJ/mol of atoms

Record 4
# EuZn2Si (PBE, relaxed)
data_EuZn2Si
_chemical_formula_sum 'Eu4 Zn8 Si4'
_symmetry_space_group_name_H-M 'F m -3 m'
_symmetry_Int_Tables_number 225
_symmetry_space_group_name_Hall '-F 4 2 3'
_cell_length_a 6.748
_cell_length_b 6.748
_cell_length_c 6.748
_cell_angle_alpha 90.00
_cell_angle_beta 90.00
_cell_angle_gamma 90.00
loop_
_atom_site_label
_atom_site_type_symbol
_atom_site_fract_x
_atom_site_fract_y
_atom_site_fract_z
Eu1 Eu 0.000 0.000 0.000
Zn1 Zn 0.250 0.250 0.250
Si1 Si 0.000 0.000 0.500
# * V: 77 Å³/f.u.
# * total DFT energy (no corrections): -18.6 eV per formula unit
# * energy relative to the elements, uncorrected: -8 kJ/mol of atoms

Record 5
# Sm6Eu (PBE, relaxed)
data_Sm6Eu
_chemical_formula_sum 'Sm12 Eu2'
_symmetry_space_group_name_H-M 'I m -3 m'
_symmetry_Int_Tables_number 229
_symmetry_space_group_name_Hall '-I 4 2 3'
_cell_length_a 8.257
_cell_length_b 8.257
_cell_length_c 8.257
_cell_angle_alpha 90.00
_cell_angle_beta 90.00
_cell_angle_gamma 90.00
loop_
_atom_site_label
_atom_site_type_symbol
_atom_site_fract_x
_atom_site_fract_y
_atom_site_fract_z
Sm1 Sm 0.000 0.250 0.500
Eu1 Eu 0.000 0.000 0.000
# * DFT formation energy: 1.162 eV per atom
# * V: 281 Å³/f.u.
# * total DFT energy (no corrections): -30.5 eV per formula unit

Record 6
# SmEu (PBE, relaxed)
data_SmEu
_chemical_formula_sum 'Sm2 Eu2'
_symmetry_space_group_name_H-M 'P 4/n m m'
_symmetry_Int_Tables_number 129
_cell_length_a 3.742
_cell_length_b 3.742
_cell_length_c 10.649
_cell_angle_alpha 90.00
_cell_angle_beta 90.00
_cell_angle_gamma 90.00
loop_
_symmetry_equiv_pos_as_xyz
'x,y,z'
'-x,-y,-z'
'-y+1/2,x,z'
'y+1/2,-x,-z'
'-x+1/2,-y+1/2,z'
'x+1/2,y+1/2,-z'
'y,-x+1/2,z'
'-y,x+1/2,-z'
'x+1/2,-y,-z'
'-x+1/2,y,z'
'-y,-x,-z'
'y,x,z'
'-x,y+1/2,-z'
'x,-y+1/2,z'
'y+1/2,x+1/2,-z'
'-y+1/2,-x+1/2,z'
loop_
_atom_site_label
_atom_site_type_symbol
_atom_site_fract_x
_atom_site_fract_y
_atom_site_fract_z
Sm1 Sm 0.250 0.250 0.112
Eu1 Eu 0.250 0.250 0.635
# * DFT formation energy: 0.029 eV per atom
# * V: 75 Å³/f.u.
# * total DFT energy (no corrections): -14.9 eV per formula unit
# * energy above the most stable polymorph in this dataset: 0.000 eV/atom

Record 7
# SmEu (PBE, relaxed)
data_SmEu
_chemical_formula_sum 'Sm1 Eu1'
_symmetry_space_group_name_H-M 'P m -3 m'
_symmetry_Int_Tables_number 221
_symmetry_space_group_name_Hall '-P 4 2 3'
_cell_length_a 4.190
_cell_length_b 4.190
_cell_length_c 4.190
_cell_angle_alpha 90.00
_cell_angle_beta 90.00
_cell_angle_gamma 90.00
loop_
_atom_site_label
_atom_site_type_symbol
_atom_site_fract_x
_atom_site_fract_y
_atom_site_fract_z
Sm1 Sm 0.000 0.000 0.000
Eu1 Eu 0.500 0.500 0.500
# * DFT formation energy: 0.146 eV per atom
# * V: 74 Å³/f.u.
# * total DFT energy (no corrections): -14.7 eV per formula unit
# * energy above the most stable polymorph in this dataset: 0.117 eV/atom

Record 8
# Sm5Eu (PBE, relaxed)
data_Sm5Eu
_chemical_formula_sum 'Sm10 Eu2'
_symmetry_space_group_name_H-M 'C m m m'
_symmetry_Int_Tables_number 65
_symmetry_space_group_name_Hall '-C 2 2'
_cell_length_a 5.184
_cell_length_b 15.515
_cell_length_c 5.178
_cell_angle_alpha 90.00
_cell_angle_beta 90.00
_cell_angle_gamma 90.00
loop_
_atom_site_label
_atom_site_type_symbol
_atom_site_fract_x
_atom_site_fract_y
_atom_site_fract_z
Sm1 Sm 0.000 0.000 0.000
Sm2 Sm 0.000 0.170 0.500
Sm3 Sm 0.000 0.330 0.000
Eu1 Eu 0.000 0.500 0.500
# * DFT formation energy: 0.046 eV per atom
# * V: 208 Å³/f.u.
# * total DFT energy (no corrections): -33.6 eV per formula unit

Record 9
# SmEu2Sn (PBE, relaxed)
data_SmEu2Sn
_chemical_formula_sum 'Sm1 Eu2 Sn1'
_symmetry_space_group_name_H-M 'P 4/m m m'
_symmetry_Int_Tables_number 123
_symmetry_space_group_name_Hall '-P 4 2'
_cell_length_a 4.913
_cell_length_b 4.913
_cell_length_c 5.199
_cell_angle_alpha 90.00
_cell_angle_beta 90.00
_cell_angle_gamma 90.00
loop_
_atom_site_label
_atom_site_type_symbol
_atom_site_fract_x
_atom_site_fract_y
_atom_site_fract_z
Sm1 Sm 0.000 0.000 0.000
Eu1 Eu 0.000 0.500 0.500
Sn1 Sn 0.500 0.500 0.000
# * DFT formation energy: -0.401 eV per atom
# * V: 125 Å³/f.u.
# * total DFT energy (no corrections): -30.9 eV per formula unit

Record 10
# SrSm2Eu (PBE, relaxed)
data_SrSm2Eu
_chemical_formula_sum 'Sr3 Sm6 Eu3'
_symmetry_space_group_name_H-M 'R -3 m'
_symmetry_Int_Tables_number 166
_symmetry_space_group_name_Hall '-R 3 2"'
_cell_length_a 3.7034
_cell_length_b 3.7034
_cell_length_c 39.8448
_cell_angle_alpha 90.00
_cell_angle_beta 90.00
_cell_angle_gamma 120.00
loop_
_atom_site_label
_atom_site_type_symbol
_atom_site_fract_x
_atom_site_fract_y
_atom_site_fract_z
Sr1 Sr 0.0000 0.0000 0.0000
Sm1 Sm 0.0000 0.0000 0.0902
Eu1 Eu 0.0000 0.0000 0.5000
# * DFT formation energy: 0.253 eV per atom
# * V: 158 Å³/f.u.
# * total DFT energy (no corrections): -20.4 eV per formula unit
# * energy above the most stable polymorph in this dataset: 0.095 eV/atom

Record 11
# SrSm2Eu (PBE, relaxed)
data_SrSm2Eu
_chemical_formula_sum 'Sr1 Sm2 Eu1'
_symmetry_space_group_name_H-M 'P 4/m m m'
_symmetry_Int_Tables_number 123
_symmetry_space_group_name_Hall '-P 4 2'
_cell_length_a 3.775
_cell_length_b 3.775
_cell_length_c 10.881
_cell_angle_alpha 90.00
_cell_angle_beta 90.00
_cell_angle_gamma 90.00
loop_
_atom_site_label
_atom_site_type_symbol
_atom_site_fract_x
_atom_site_fract_y
_atom_site_fract_z
Sr1 Sr 0.000 0.000 0.000
Sm1 Sm 0.500 0.500 0.266
Eu1 Eu 0.000 0.000 0.500
# * DFT formation energy: 0.159 eV per atom
# * V: 155 Å³/f.u.
# * total DFT energy (no corrections): -20.8 eV per formula unit
# * energy above the most stable polymorph in this dataset: 0.000 eV/atom

Record 12
# SrSmEu2 (PBE, relaxed)
data_SrSmEu2
_chemical_formula_sum 'Sr4 Sm4 Eu8'
_symmetry_space_group_name_H-M 'F m -3 m'
_symmetry_Int_Tables_number 225
_symmetry_space_group_name_Hall '-F 4 2 3'
_cell_length_a 8.735
_cell_length_b 8.735
_cell_length_c 8.735
_cell_angle_alpha 90.00
_cell_angle_beta 90.00
_cell_angle_gamma 90.00
loop_
_atom_site_label
_atom_site_type_symbol
_atom_site_fract_x
_atom_site_fract_y
_atom_site_fract_z
Sr1 Sr 0.000 0.000 0.000
Sm1 Sm 0.000 0.000 0.500
Eu1 Eu 0.250 0.250 0.250
# * DFT formation energy: 0.134 eV per atom
# * V: 167 Å³/f.u.
# * total DFT energy (no corrections): -26.4 eV per formula unit
# * energy above the most stable polymorph in this dataset: 0.062 eV/atom